(1)
This record from Alexandria describes crystalline GaFe3Re at its relaxed geometry. The functional is GGA-PBE.

Summary:
- Energy of formation: 1.639 eV per atom
- Symmetry: Pm-3m

POSCAR file:
```
GaFe3Re
1.0
4.160 0.000 0.000
0.000 4.160 0.000
0.000 0.000 4.160
Re Fe Ga
1 3 1
Cartesian
2.080 2.080 2.080
0.000 2.080 0.000
0.000 0.000 2.080
2.080 0.000 0.000
0.000 0.000 0.000
```

=====

(2)
This record from Alexandria describes crystalline GaFeRe at its relaxed geometry. The functional is GGA-PBE.

Summary:
- Energy of formation: -0.013 eV per atom
- Symmetry: I4mm

POSCAR file:
```
GaFeRe
1.0
-1.375 1.796 1.583
-2.354 -0.680 -1.272
1.042 -4.286 3.360
Re Fe Ga
1 1 1
Cartesian
-0.528 -2.393 2.257
-2.143 -0.703 1.344
-0.016 -0.074 0.070
```

=====

(3)
This record from Alexandria describes crystalline Ga2Fe2Re at its relaxed geometry. The functional is GGA-PBE.

Summary:
- Energy of formation: 0.499 eV per atom
- Symmetry: I4/mmm

POSCAR file:
```
Ga2Fe2Re
1.0
3.404 0.000 0.000
0.000 3.404 0.000
1.702 1.702 6.052
Re Fe Ga
1 2 2
Cartesian
0.000 0.000 0.000
1.702 1.702 1.161
3.404 3.404 4.891
3.404 1.702 3.026
1.702 3.404 3.026
```

=====

(4)
This record from Alexandria describes crystalline Ga3FeRe at its relaxed geometry. The functional is GGA-PBE.

Summary:
- Energy of formation: 0.820 eV per atom
- Symmetry: Pm-3m

POSCAR file:
```
Ga3FeRe
1.0
-1.422 2.854 3.581
-1.799 -3.796 2.311
4.211 -0.658 2.197
Re Fe Ga
1 1 3
Cartesian
0.000 0.000 0.000
0.495 -0.800 4.044
-0.900 -1.898 1.156
2.105 -0.329 1.098
-0.711 1.427 1.790
```

=====

(5)
This record from Alexandria describes crystalline GaFeReRu at its relaxed geometry. The functional is GGA-PBE.

Summary:
- Energy of formation: 0.088 eV per atom
- Symmetry: F-43m

POSCAR file:
```
GaFeReRu
1.0
-1.432 -2.342 3.266
0.635 -4.218 0.040
2.758 -1.716 2.766
Re Fe Ga Ru
1 1 1 1
Cartesian
0.981 -4.138 3.036
1.471 -6.207 4.554
0.000 0.000 0.000
0.490 -2.069 1.518
```

=====

(6)
This record from Alexandria describes crystalline ScGaFe2Re at its relaxed geometry. The functional is GGA-PBE.

Summary:
- Energy of formation: 1.718 eV per atom
- Symmetry: P4/mmm

POSCAR file:
```
ScGaFe2Re
1.0
-4.013 -1.011 0.547
-0.285 -1.384 -4.644
1.123 -3.872 1.085
Sc Re Fe Ga
1 1 2 1
Cartesian
0.000 0.000 0.000
-1.587 -3.133 -1.506
0.562 -1.936 0.542
-2.007 -0.506 0.274
-0.142 -0.692 -2.322
```

=====

(7)
This record from Alexandria describes crystalline GaFeReTc at its relaxed geometry. The functional is GGA-PBE.

Summary:
- Energy of formation: 0.062 eV per atom
- Symmetry: F-43m

POSCAR file:
```
GaFeReTc
1.0
4.256 0.000 0.000
2.128 3.686 0.000
2.128 1.229 3.475
Re Tc Ga Fe
1 1 1 1
Cartesian
6.385 3.686 2.606
4.256 2.457 1.738
2.128 1.229 0.869
0.000 0.000 0.000
```

=====

(8)
This record from Alexandria describes crystalline TiGaFeRe at its relaxed geometry. The functional is GGA-PBE.

Summary:
- Energy of formation: -0.132 eV per atom
- Symmetry: F-43m

POSCAR file:
```
TiGaFeRe
1.0
-2.191 1.548 3.357
0.902 -1.372 3.971
1.929 2.632 2.796
Re Fe Ga Ti
1 1 1 1
Cartesian
0.320 1.404 5.062
0.000 0.000 0.000
0.480 2.106 7.593
0.160 0.702 2.531
```

=====

Number 1: M_tot 0.18 μB/atom, volume 14.4 Å³/atom, E -6.534 eV per atom. Number 2: M_tot 0.01 μB/atom, volume 13.2 Å³/atom, E -7.992 eV per atom. Number 3: M_tot 0.74 μB/atom, volume 14.0 Å³/atom, E -6.586 eV per atom. Number 4: M_tot 0.66 μB/atom, volume 22.0 Å³/atom, E -5.178 eV per atom. Number 5: M_tot 0.49 μB/atom, volume 13.7 Å³/atom, E -8.215 eV per atom. Number 6: M_tot 0.98 μB/atom, volume 16.9 Å³/atom, E -6.029 eV per atom. Number 7: M_tot 0.14 μB/atom, volume 13.6 Å³/atom, E -8.514 eV per atom. Number 8: M_tot 0.45 μB/atom, volume 14.0 Å³/atom, E -8.090 eV per atom.